Below is PmNpPdO6 after structural relaxation, with properties calculated at the PBE-GGA level.

a = 5.3901 Å, b = 5.3901 Å, c = 10.4339 Å
α = 90.00°, β = 90.00°, γ = 120.00°
Fractional positions:
Pm (0.0000, 0.0000, 0.0000)
Pm (0.0000, 0.0000, 0.5000)
Np (0.6667, 0.3333, 0.2500)
Np (0.3333, 0.6667, 0.7500)
Pd (0.3333, 0.6667, 0.2500)
Pd (0.6667, 0.3333, 0.7500)
O (0.6518, 0.6469, 0.1383)
O (0.9951, 0.3482, 0.1383)
O (0.3482, 0.9951, 0.6383)
O (0.0049, 0.6518, 0.8617)
O (0.3531, 0.3482, 0.3617)
O (0.9951, 0.6469, 0.3617)
O (0.6469, 0.9951, 0.8617)
O (0.6518, 0.0049, 0.3617)
O (0.0049, 0.3531, 0.6383)
O (0.3531, 0.0049, 0.1383)
O (0.6469, 0.6518, 0.6383)
O (0.3482, 0.3531, 0.8617)

Calculated values
SG: P-31c
ΔE_f (raw) (kJ/mol of atoms): -218
Total DFT energy (no corrections) (eV per formula unit): -72.94
DOS at the Fermi energy (states/eV/atom): 0.92